VASP calculation (GGA-PBE) on an optimized crystal structure of CsTl2CrI6.

## Properties
Energy relative to the elements, uncorrected   -0.69 eV/atom
E_tot   -3.14 eV per atom

abc: 8.9532 8.9532 8.9532
angles: 57.11 57.11 57.11
Closest atoms and distances in Å follow each position.
Atoms (fractional coordinates):
1 Cs 0.0000 0.0000 0.0000  6 I 3.77-3.99, 1 Tl 4.21
2 Tl 0.2904 0.2904 0.2904  6 I 3.52-3.54
3 Tl 0.8120 0.8120 0.8120  6 I 3.45-3.62
4 Cr 0.4871 0.4871 0.4871  6 I 2.77
5 I 0.1456 0.6649 0.4299  1 Cr 2.77
6 I 0.2898 0.5606 0.8225  1 Cr 2.77
7 I 0.4299 0.1456 0.6649  1 Cr 2.77
8 I 0.5606 0.8225 0.2898  1 Cr 2.77
9 I 0.6649 0.4299 0.1456  1 Cr 2.77
10 I 0.8225 0.2898 0.5606  1 Cr 2.77

VASP calculation (GGA-PBE) on an optimized crystal structure of CsTmCrI6.

## Properties
Energy relative to the elements, uncorrected   -1.03 eV/atom
E_tot   -3.73 eV per atom

abc: 7.6372 7.6372 8.7935
angles: 90.00 90.00 120.00
Closest atoms and distances in Å follow each position.
Atoms (fractional coordinates):
1 Cs 0.0000 0.0000 0.0000  6 I 3.91
2 Tm 0.6667 0.3333 0.5000  6 I 3.01
3 Cr 0.3333 0.6667 0.5000  6 I 2.90
4 I 0.0111 0.3758 0.6926  1 Cr 2.90, 1 Tm 3.01
5 I 0.0111 0.6353 0.3074  1 Cr 2.90, 1 Tm 3.01
6 I 0.3647 0.3758 0.3074  1 Cr 2.90, 1 Tm 3.01
7 I 0.3647 0.9889 0.6926  1 Cr 2.90, 1 Tm 3.01
8 I 0.6242 0.6353 0.6926  1 Cr 2.90, 1 Tm 3.01
9 I 0.6242 0.9889 0.3074  1 Cr 2.90, 1 Tm 3.01

VASP calculation (GGA-PBE) on an optimized crystal structure of CsVCrI6.

## Properties
Energy relative to the elements, uncorrected   -0.67 eV/atom
E_tot   -3.88 eV per atom

abc: 7.2576 7.2576 8.8478
angles: 90.00 90.00 120.00
Closest atoms and distances in Å follow each position.
Atoms (fractional coordinates):
1 Cs 0.0000 0.0000 0.0000  6 I 3.89
2 V 0.6667 0.3333 0.5000  6 I 2.81
3 Cr 0.3333 0.6667 0.5000  6 I 2.78
4 I 0.0034 0.3665 0.6776  1 Cr 2.78, 1 V 2.81
5 I 0.0034 0.6370 0.3224  1 Cr 2.78, 1 V 2.81
6 I 0.3630 0.3665 0.3224  1 Cr 2.78, 1 V 2.81
7 I 0.3630 0.9966 0.6776  1 Cr 2.78, 1 V 2.81
8 I 0.6335 0.6370 0.6776  1 Cr 2.78, 1 V 2.81
9 I 0.6335 0.9966 0.3224  1 Cr 2.78, 1 V 2.81